Material: Ba2Ga3Sn4Hg
Method: DFT, PBE
State: optimized geometry

```
data_Ba2Ga3Sn4Hg
_cell_length_a 5.156
_cell_length_b 5.156
_cell_length_c 10.789
_cell_angle_alpha 90.00
_cell_angle_beta 90.00
_cell_angle_gamma 90.00
_space_group_name_H-M_alt 'P 1'
_space_group_IT_number 1
loop_
_space_group_symop_operation_xyz
'x,y,z'
loop_
_atom_site_label
_atom_site_fract_x
_atom_site_fract_y
_atom_site_fract_z
_atom_site_occupancy
Ba1 0.000 0.500 0.246 1
Ba2 0.500 0.000 0.754 1
Ga1 0.000 0.000 0.000 1
Ga2 0.000 0.500 0.615 1
Ga3 0.500 0.000 0.385 1
Sn1 0.000 0.000 0.500 1
Sn2 0.000 0.500 0.869 1
Sn3 0.500 0.000 0.131 1
Sn4 0.500 0.500 0.500 1
Hg1 0.500 0.500 0.000 1
```

**Formation energy**: -3.82 eV/f.u.
**DOS(E_F)**: 4.3 states/eV/cell
**SG**: P-4m2
**Volume**: 286.8 Å³/f.u.

Material: TlPbAu3
Method: DFT, PBE
State: optimized geometry

```
data_TlPbAu3
_cell_length_a 5.412
_cell_length_b 5.412
_cell_length_c 5.412
_cell_angle_alpha 90.00
_cell_angle_beta 90.00
_cell_angle_gamma 90.00
_space_group_name_H-M_alt 'P 1'
_space_group_IT_number 1
loop_
_space_group_symop_operation_xyz
'x,y,z'
loop_
_atom_site_label
_atom_site_fract_x
_atom_site_fract_y
_atom_site_fract_z
_atom_site_occupancy
Tl1 0.000 0.000 0.000 1
Pb1 0.500 0.500 0.500 1
Au1 0.000 0.500 0.500 1
Au2 0.500 0.000 0.500 1
Au3 0.500 0.500 0.000 1
```

**Energy relative to the lowest polymorph listed for this composition**: 0.362 eV/atom
**Formation energy**: 1.67 eV/f.u.
**DOS(E_F)**: 1.1 states/eV/cell
**SG**: Pm-3m
**Volume**: 158.5 Å³/f.u.

Material: Pa3Al2Tc4
Method: DFT, PBE
State: optimized geometry

```
data_Pa3Al2Tc4
_cell_length_a 4.990
_cell_length_b 4.990
_cell_length_c 8.922
_cell_angle_alpha 90.20
_cell_angle_beta 90.20
_cell_angle_gamma 53.89
_space_group_name_H-M_alt 'P 1'
_space_group_IT_number 1
loop_
_space_group_symop_operation_xyz
'x,y,z'
loop_
_atom_site_label
_atom_site_fract_x
_atom_site_fract_y
_atom_site_fract_z
_atom_site_occupancy
Pa1 0.000 0.000 0.000 1
Pa2 0.371 0.371 0.596 1
Pa3 0.629 0.629 0.404 1
Al1 0.323 0.323 0.220 1
Al2 0.677 0.677 0.780 1
Tc1 0.095 0.095 0.643 1
Tc2 0.260 0.260 0.918 1
Tc3 0.740 0.740 0.082 1
Tc4 0.905 0.905 0.357 1
```

**Formation energy**: -2.72 eV/f.u.
**DOS(E_F)**: 9.6 states/eV/cell
**SG**: C2/m
**Volume**: 179.5 Å³/f.u.

Material: NiSe
Method: DFT, PBE
State: optimized geometry

```
data_NiSe
_cell_length_a 5.390
_cell_length_b 5.390
_cell_length_c 5.390
_cell_angle_alpha 141.44
_cell_angle_beta 141.44
_cell_angle_gamma 55.67
_space_group_name_H-M_alt 'P 1'
_space_group_IT_number 1
loop_
_space_group_symop_operation_xyz
'x,y,z'
loop_
_atom_site_label
_atom_site_fract_x
_atom_site_fract_y
_atom_site_fract_z
_atom_site_occupancy
Ni1 0.375 0.625 0.750 1
Ni2 0.625 0.375 0.250 1
Se1 0.125 0.875 0.250 1
Se2 0.875 0.125 0.750 1
```

**ΔE_f (raw)**: 231 meV/atom
**DOS(E_F)**: 2.2 states/eV/cell
**SG**: I4_1/amd
**Volume**: 30.2 Å³/f.u.

Material: Dy2AlInO6
Method: DFT, PBE
State: optimized geometry

```
data_Dy2AlInO6
_cell_length_a 5.222
_cell_length_b 5.222
_cell_length_c 4.968
_cell_angle_alpha 90.00
_cell_angle_beta 90.00
_cell_angle_gamma 90.00
_space_group_name_H-M_alt 'P 1'
_space_group_IT_number 1
loop_
_space_group_symop_operation_xyz
'x,y,z'
loop_
_atom_site_label
_atom_site_fract_x
_atom_site_fract_y
_atom_site_fract_z
_atom_site_occupancy
Dy1 0.000 0.500 0.000 1
Dy2 0.500 0.000 0.000 1
Al1 0.000 0.000 0.601 1
In1 0.500 0.500 0.569 1
O1 0.000 0.000 0.239 1
O2 0.237 0.237 0.738 1
O3 0.237 0.763 0.738 1
O4 0.500 0.500 0.157 1
O5 0.763 0.237 0.738 1
O6 0.763 0.763 0.738 1
```

**ΔE_f (raw)**: -2738 meV/atom
**DOS(E_F)**: 0.0 states/eV/cell
**SG**: P4mm
**Volume**: 135.5 Å³/f.u.

Material: SiAg3Bi
Method: DFT, PBE
State: optimized geometry

```
data_SiAg3Bi
_cell_length_a 5.348
_cell_length_b 5.348
_cell_length_c 5.348
_cell_angle_alpha 90.00
_cell_angle_beta 90.00
_cell_angle_gamma 90.00
_space_group_name_H-M_alt 'P 1'
_space_group_IT_number 1
loop_
_space_group_symop_operation_xyz
'x,y,z'
loop_
_atom_site_label
_atom_site_fract_x
_atom_site_fract_y
_atom_site_fract_z
_atom_site_occupancy
Si1 0.000 0.000 0.000 1
Ag1 0.000 0.500 0.500 1
Ag2 0.500 0.000 0.500 1
Ag3 0.500 0.500 0.000 1
Bi1 0.500 0.500 0.500 1
```

**Energy relative to the lowest polymorph listed for this composition**: 0.631 eV/atom
**ΔE_f (raw)**: 1049 meV/atom
**DOS(E_F)**: 3.3 states/eV/cell
**SG**: Pm-3m
**Volume**: 152.9 Å³/f.u.

Material: LuAlB4
Method: DFT, PBE
State: optimized geometry

```
data_LuAlB4
_cell_length_a 5.902
_cell_length_b 5.902
_cell_length_c 3.497
_cell_angle_alpha 90.00
_cell_angle_beta 90.00
_cell_angle_gamma 103.71
_space_group_name_H-M_alt 'P 1'
_space_group_IT_number 1
loop_
_space_group_symop_operation_xyz
'x,y,z'
loop_
_atom_site_label
_atom_site_fract_x
_atom_site_fract_y
_atom_site_fract_z
_atom_site_occupancy
Lu1 0.200 0.800 0.000 1
Lu2 0.800 0.200 0.000 1
Al1 0.320 0.320 0.000 1
Al2 0.680 0.680 0.000 1
B1 0.117 0.437 0.500 1
B2 0.121 0.121 0.500 1
B3 0.407 0.593 0.500 1
B4 0.437 0.117 0.500 1
B5 0.563 0.883 0.500 1
B6 0.593 0.407 0.500 1
B7 0.879 0.879 0.500 1
B8 0.883 0.563 0.500 1
```

**Formation energy**: -2.97 eV/f.u.
**DOS(E_F)**: 1.4 states/eV/cell
**SG**: Cmmm
**Volume**: 59.2 Å³/f.u.

Material: CoTcSb2
Method: DFT, PBE
State: optimized geometry

```
data_CoTcSb2
_cell_length_a 4.601
_cell_length_b 4.601
_cell_length_c 4.601
_cell_angle_alpha 60.00
_cell_angle_beta 60.00
_cell_angle_gamma 60.00
_space_group_name_H-M_alt 'P 1'
_space_group_IT_number 1
loop_
_space_group_symop_operation_xyz
'x,y,z'
loop_
_atom_site_label
_atom_site_fract_x
_atom_site_fract_y
_atom_site_fract_z
_atom_site_occupancy
Co1 0.000 0.000 0.000 1
Tc1 0.500 0.500 0.500 1
Sb1 0.250 0.250 0.250 1
Sb2 0.750 0.750 0.750 1
```

**Energy relative to the lowest polymorph listed for this composition**: 0.175 eV/atom
**ΔE_f (raw)**: 280 meV/atom
**DOS(E_F)**: 2.3 states/eV/cell
**SG**: Fm-3m
**Volume**: 68.9 Å³/f.u.

Material: AlSb4
Method: DFT, PBE
State: optimized geometry

```
data_AlSb4
_cell_length_a 5.270
_cell_length_b 5.270
_cell_length_c 5.270
_cell_angle_alpha 90.00
_cell_angle_beta 90.00
_cell_angle_gamma 90.00
_space_group_name_H-M_alt 'P 1'
_space_group_IT_number 1
loop_
_space_group_symop_operation_xyz
'x,y,z'
loop_
_atom_site_label
_atom_site_fract_x
_atom_site_fract_y
_atom_site_fract_z
_atom_site_occupancy
Al1 0.000 0.000 0.000 1
Sb1 0.000 0.000 0.500 1
Sb2 0.000 0.500 0.000 1
Sb3 0.500 0.000 0.000 1
Sb4 0.500 0.500 0.500 1
```

**Energy relative to the lowest polymorph listed for this composition**: 0.341 eV/atom
**ΔE_f (raw)**: 523 meV/atom
**DOS(E_F)**: 3.7 states/eV/cell
**SG**: Pm-3m
**Volume**: 146.4 Å³/f.u.

Material: Na2SrNpCl8
Method: DFT, PBE
State: optimized geometry

```
data_Na2SrNpCl8
_cell_length_a 6.556
_cell_length_b 8.668
_cell_length_c 6.630
_cell_angle_alpha 90.00
_cell_angle_beta 92.40
_cell_angle_gamma 90.00
_space_group_name_H-M_alt 'P 1'
_space_group_IT_number 1
loop_
_space_group_symop_operation_xyz
'x,y,z'
loop_
_atom_site_label
_atom_site_fract_x
_atom_site_fract_y
_atom_site_fract_z
_atom_site_occupancy
Na1 0.000 0.236 0.000 1
Na2 0.000 0.764 0.000 1
Sr1 0.500 0.000 0.500 1
Np1 0.500 0.500 0.500 1
Cl1 0.206 0.000 0.183 1
Cl2 0.225 0.500 0.204 1
Cl3 0.300 0.278 0.677 1
Cl4 0.300 0.722 0.677 1
Cl5 0.700 0.278 0.323 1
Cl6 0.700 0.722 0.323 1
Cl7 0.775 0.500 0.796 1
Cl8 0.794 0.000 0.817 1
```

**ΔE_f (raw)**: -1882 meV/atom
**DOS(E_F)**: 4.9 states/eV/cell
**SG**: P2/m
**Volume**: 376.4 Å³/f.u.

Material: Er4CdHg3
Method: DFT, PBE
State: optimized geometry

```
data_Er4CdHg3
_cell_length_a 8.305
_cell_length_b 8.305
_cell_length_c 8.305
_cell_angle_alpha 143.49
_cell_angle_beta 143.49
_cell_angle_gamma 52.60
_space_group_name_H-M_alt 'P 1'
_space_group_IT_number 1
loop_
_space_group_symop_operation_xyz
'x,y,z'
loop_
_atom_site_label
_atom_site_fract_x
_atom_site_fract_y
_atom_site_fract_z
_atom_site_occupancy
Er1 0.126 0.626 0.500 1
Er2 0.374 0.874 0.500 1
Er3 0.626 0.126 0.500 1
Er4 0.874 0.374 0.500 1
Cd1 0.000 0.000 0.000 1
Hg1 0.249 0.249 0.000 1
Hg2 0.500 0.500 0.000 1
Hg3 0.751 0.751 0.000 1
```

**Energy relative to the lowest polymorph listed for this composition**: 0.000 eV/atom
**Formation energy**: -3.50 eV/f.u.
**DOS(E_F)**: 6.6 states/eV/cell
**SG**: I4/mmm
**Volume**: 201.6 Å³/f.u.

Material: Li2CrFeAs2
Method: DFT, PBE
State: optimized geometry

```
data_Li2CrFeAs2
_cell_length_a 3.935
_cell_length_b 3.935
_cell_length_c 6.091
_cell_angle_alpha 90.00
_cell_angle_beta 90.00
_cell_angle_gamma 90.00
_space_group_name_H-M_alt 'P 1'
_space_group_IT_number 1
loop_
_space_group_symop_operation_xyz
'x,y,z'
loop_
_atom_site_label
_atom_site_fract_x
_atom_site_fract_y
_atom_site_fract_z
_atom_site_occupancy
Li1 0.000 0.000 0.000 1
Li2 0.500 0.500 0.000 1
Cr1 0.000 0.000 0.500 1
Fe1 0.500 0.500 0.500 1
As1 0.000 0.500 0.273 1
As2 0.500 0.000 0.727 1
```

**Formation energy**: -1.71 eV/f.u.
**DOS(E_F)**: 2.7 states/eV/cell
**SG**: P-4m2
**Volume**: 94.3 Å³/f.u.

Material: Tb2Nd3Ho
Method: DFT, PBE
State: optimized geometry

```
data_Tb2Nd3Ho
_cell_length_a 6.222
_cell_length_b 6.269
_cell_length_c 6.270
_cell_angle_alpha 60.07
_cell_angle_beta 70.42
_cell_angle_gamma 80.31
_space_group_name_H-M_alt 'P 1'
_space_group_IT_number 1
loop_
_space_group_symop_operation_xyz
'x,y,z'
loop_
_atom_site_label
_atom_site_fract_x
_atom_site_fract_y
_atom_site_fract_z
_atom_site_occupancy
Tb1 0.000 0.167 0.167 1
Tb2 0.000 0.833 0.833 1
Nd1 0.500 0.167 0.667 1
Nd2 0.500 0.500 0.000 1
Nd3 0.500 0.833 0.333 1
Ho1 0.000 0.500 0.500 1
```

**Energy relative to the lowest polymorph listed for this composition**: 0.026 eV/atom
**Formation energy**: 0.09 eV/f.u.
**DOS(E_F)**: 8.2 states/eV/cell
**SG**: P-1
**Volume**: 199.7 Å³/f.u.